An optimized crystal structure of Li2YTa, computed with PBE-GGA.

- calculated density (g/cm3) = 5.743
- total magnetization (μB/cell) = 0.000
- energy of formation (meV per atom) = 468

Cell: 2.9055 4.7071 6.1704 Å, 90.00 103.57 90.00°
Fractional positions:
Li (0.0000, 0.0000, 0.0000)
Li (0.1437, 0.5000, 0.2384)
Y (0.3700, 0.5000, 0.7238)
Ta (0.7427, 0.0000, 0.4639)

An optimized crystal structure of LiYTa2, computed with PBE-GGA.

- calculated density (g/cm3) = 9.126
- total magnetization (μB/cell) = 0.000
- energy of formation (meV per atom) = 698

Cell: 11.0536 11.0536 11.0536 Å, 159.43 159.43 29.25°
Fractional positions:
Li (0.0000, 0.0000, 0.0000)
Li (0.7500, 0.2500, 0.5000)
Y (0.2500, 0.7500, 0.5000)
Y (0.5000, 0.5000, 0.0000)
Ta (0.1233, 0.1250, 0.4983)
Ta (0.3750, 0.8767, 0.0017)
Ta (0.6267, 0.6250, 0.5017)
Ta (0.8750, 0.3733, 0.9983)

An optimized crystal structure of Li2YTa, computed with PBE-GGA.

- calculated density (g/cm3) = 6.060
- total magnetization (μB/cell) = 0.000
- energy of formation (meV per atom) = 595

Cell: 4.7906 4.7906 4.7906 Å, 60.00 60.00 60.00°
Fractional positions:
Li (0.2500, 0.2500, 0.2500)
Li (0.7500, 0.7500, 0.7500)
Y (0.0000, 0.0000, 0.0000)
Ta (0.5000, 0.5000, 0.5000)